[1]
PBE LiGaNiOs, relaxed; calculated volume = 13.06 A^3/atom; M_tot = 1.2 μB/f.u.; raw total energy = -87.87 eV/cell; DOS at the Fermi energy = 20.142 states/eV/cell; symmetry = F-43m, No. 216
1.0
5.934 0.000 0.000
0.000 5.934 0.000
0.000 0.000 5.934
Li Ga Ni Os
4 4 4 4
Cartesian
0.000 0.000 0.000
0.000 2.967 2.967
2.967 0.000 2.967
2.967 2.967 0.000
1.484 1.484 1.484
1.484 4.451 4.451
4.451 1.484 4.451
4.451 4.451 1.484
1.484 1.484 4.451
1.484 4.451 1.484
4.451 1.484 1.484
4.451 4.451 4.451
0.000 0.000 2.967
0.000 2.967 0.000
2.967 0.000 0.000
2.967 2.967 2.967



[2]
PBE Sm5Dy6Th2, relaxed; calculated volume = 33.20 A^3/atom; M_tot = 0.0 μB/f.u.; raw total energy = -129.26 eV/cell; DOS at the Fermi energy = 34.983 states/eV/cell; symmetry = Pbam, No. 55
1.0
11.532 0.000 0.000
0.000 20.905 0.000
0.000 0.000 3.581
Sm Dy Th
10 12 4
Cartesian
0.000 0.000 0.000
0.753 6.149 0.000
2.198 12.092 0.000
3.568 1.640 0.000
5.013 16.601 0.000
5.766 10.453 0.000
6.519 4.304 0.000
7.964 19.266 0.000
9.334 8.813 0.000
10.779 14.757 0.000
0.728 3.086 1.790
0.926 9.146 1.790
2.141 18.328 0.000
3.625 7.875 0.000
4.840 19.598 1.790
5.038 13.539 1.790
6.494 7.366 1.790
6.692 1.307 1.790
7.907 13.031 0.000
9.391 2.578 0.000
10.606 11.760 1.790
10.804 17.819 1.790
2.180 15.376 1.790
3.586 4.923 1.790
7.946 15.982 1.790
9.352 5.530 1.790



[3]
PBE Ag2Pd5, relaxed; calculated volume = 16.10 A^3/atom; M_tot = 0.0 μB/f.u.; energy above the lowest structure with this stoichiometry = 0 meV per atom; raw total energy = -63.16 eV/cell; DOS at the Fermi energy = 25.863 states/eV/cell; symmetry = C2/c, No. 15
1.0
6.283 -2.456 0.000
6.283 2.456 0.000
-0.339 0.000 7.305
Ag Pd
4 10
Cartesian
5.078 1.646 6.528
6.980 1.646 4.429
5.248 -1.646 2.876
7.149 -1.646 0.777
2.416 0.827 5.982
4.267 0.800 3.894
6.198 0.781 1.826
2.585 -0.827 2.330
7.791 0.800 7.064
4.436 -0.800 0.241
9.642 0.827 4.975
6.029 -0.781 5.479
7.960 -0.800 3.411
9.811 -0.827 1.323



[4]
PBE LiTc2Sb, relaxed; calculated volume = 15.30 A^3/atom; M_tot = 0.4 μB/f.u.; energy relative to the elements, uncorrected = 0.0092 eV per atom; raw total energy = -53.46 eV/cell; DOS at the Fermi energy = 6.807 states/eV/cell; symmetry = I-4m2, No. 119
1.0
4.438 0.000 0.000
0.000 4.438 0.000
0.000 0.000 6.214
Li Tc Sb
2 4 2
Cartesian
0.000 0.000 0.000
2.219 2.219 3.107
0.000 0.000 3.107
0.000 2.219 4.660
2.219 0.000 1.553
2.219 2.219 0.000
0.000 2.219 1.553
2.219 0.000 4.660



[5]
PBE Mg7In2Hg, relaxed; calculated volume = 24.29 A^3/atom; M_tot = 0.0 μB/f.u.; energy above the lowest structure with this stoichiometry = 0 meV per atom; raw total energy = -17.59 eV/cell; DOS at the Fermi energy = 4.354 states/eV/cell; symmetry = P3m1, No. 156
1.0
4.852 0.000 0.000
-2.426 4.202 0.000
0.000 0.000 11.913
Mg In Hg
7 2 1
Cartesian
0.000 0.000 0.000
0.000 0.000 3.035
0.000 0.000 6.151
0.000 2.801 1.731
0.000 2.801 8.050
2.426 1.401 4.177
2.426 1.401 10.099
0.000 0.000 9.035
0.000 2.801 4.968
2.426 1.401 1.143



[6]
PBE CrTc2Ir, relaxed; calculated volume = 13.94 A^3/atom; M_tot = 0.4 μB/f.u.; energy above the lowest structure with this stoichiometry = 7 meV per atom; raw total energy = -78.78 eV/cell; DOS at the Fermi energy = 7.288 states/eV/cell; symmetry = I4/mmm, No. 139
1.0
3.793 0.000 0.000
0.000 3.793 0.000
0.000 0.000 7.753
Cr Tc Ir
2 4 2
Cartesian
0.000 0.000 0.000
1.896 1.896 3.876
0.000 1.896 1.938
0.000 1.896 5.814
1.896 0.000 1.938
1.896 0.000 5.814
0.000 0.000 3.876
1.896 1.896 0.000



[7]
PBE KNdSb2Au2, relaxed; calculated volume = 29.65 A^3/atom; M_tot = 0.0 μB/f.u.; energy relative to the elements, uncorrected = -0.7199 eV per atom; raw total energy = -24.98 eV/cell; DOS at the Fermi energy = 1.754 states/eV/cell; symmetry = P-3m1, No. 164
1.0
4.696 0.000 0.000
-2.348 4.067 0.000
0.000 0.000 9.314
K Nd Sb Au
1 1 2 2
Cartesian
0.000 0.000 0.000
0.000 0.000 4.657
0.000 2.712 6.794
2.348 1.356 2.520
0.000 2.712 2.883
2.348 1.356 6.431



[8]
PBE Li2HfFeCl, relaxed; calculated volume = 16.31 A^3/atom; M_tot = 0.0 μB/f.u.; energy relative to the elements, uncorrected = 0.3204 eV per atom; raw total energy = -22.49 eV/cell; DOS at the Fermi energy = 3.565 states/eV/cell; symmetry = P4/mmm, No. 123
1.0
4.103 0.000 0.000
0.000 4.103 0.000
0.000 0.000 4.845
Li Hf Fe Cl
2 1 1 1
Cartesian
0.000 2.051 0.000
2.051 0.000 0.000
0.000 0.000 2.422
2.051 2.051 2.422
2.051 2.051 0.000